1.
The following is a PBE calculation of an optimized crystal structure of Tl2Cd6HgAu, from the Alexandria database.

E_tot ... -1.33 eV per atom
SG ... No. 59
Calculated formation energy ... 0.048 eV/atom

Cell: 8.2120 6.7660 9.9359 Å, 90.00 90.00 90.00°
Fractional positions:
Tl: 0.5000 0.7244 0.2773
Tl: 0.0000 0.2756 0.7773
Tl: 0.5000 0.7244 0.7227
Tl: 0.0000 0.2756 0.2227
Cd: 0.5000 0.2168 0.2449
Cd: 0.5000 0.2168 0.7551
Cd: 0.0000 0.7832 0.2551
Cd: 0.0000 0.7832 0.7449
Cd: 0.1738 0.9668 0.5000
Cd: 0.8262 0.9668 0.5000
Cd: 0.3218 0.4094 0.5000
Cd: 0.6782 0.4094 0.5000
Cd: 0.8218 0.5906 0.0000
Cd: 0.1782 0.5906 0.0000
Cd: 0.3262 0.0332 0.0000
Cd: 0.6738 0.0332 0.0000
Hg: 0.0000 0.5329 0.5000
Hg: 0.5000 0.4671 0.0000
Au: 0.5000 0.0356 0.5000
Au: 0.0000 0.9644 0.0000

=====

2.
The following is a PBE calculation of an optimized crystal structure of Tl2CdHg6Au, from the Alexandria database.

E_tot ... -0.97 eV per atom
SG ... No. 225
Calculated formation energy ... 0.107 eV/atom

Cell: 7.7532 7.7532 7.7532 Å, 60.00 60.00 90.00°
Fractional positions:
Tl: 0.2500 0.7500 0.5000
Tl: 0.7500 0.2500 0.5000
Cd: 0.5000 0.5000 0.0000
Hg: 0.2476 0.7524 0.0000
Hg: 0.7524 0.7524 0.0000
Hg: 0.2476 0.2476 0.5047
Hg: 0.7524 0.2476 0.0000
Hg: 0.2476 0.2476 0.0000
Hg: 0.7524 0.7524 0.4953
Au: 0.0000 0.0000 0.0000

=====

3.
The following is a PBE calculation of an optimized crystal structure of TlCdHg2Au, from the Alexandria database.

Excess energy over the best structure of this formula in the dataset ... 0 meV/atom
E_tot ... -1.37 eV per atom
SG ... No. 123
Calculated formation energy ... 0.059 eV/atom

Cell: 5.3966 5.3966 5.3321 Å, 90.00 90.00 90.00°
Fractional positions:
Tl: 0.5000 0.5000 0.5000
Au: 0.0000 0.0000 0.0000
Hg: 0.0000 0.5000 0.0000
Hg: 0.5000 0.0000 0.0000
Cd: 0.0000 0.0000 0.5000